A relaxed structure of HoPtPbS3, computed with PBE-GGA.

Properties
- VASP energy: -65.05 eV per cell

```
HoPtPbS3
1.0
-4.490 4.146 3.562
1.039 -5.502 -4.322
0.673 -6.292 8.171
Pb Ho Pt S
2 2 2 6
direct
0.723 0.277 0.750
0.277 0.723 0.250
0.500 0.500 0.000
0.500 0.500 0.500
0.032 0.968 0.750
0.968 0.032 0.250
0.859 0.141 0.445
0.423 0.577 0.750
0.577 0.423 0.250
0.141 0.859 0.945
0.859 0.141 0.055
0.141 0.859 0.555
```

***

A relaxed structure of RbHoPbS3, computed with PBE-GGA.

Properties
- VASP energy: -58.46 eV per cell

```
RbHoPbS3
1.0
2.006 -8.641 0.000
2.006 8.641 0.000
0.000 0.000 11.545
Ho S Rb Pb
2 6 2 2
direct
0.000 0.000 0.000
0.000 0.000 0.500
0.605 0.395 0.497
0.997 0.003 0.750
0.395 0.605 0.997
0.003 0.997 0.250
0.605 0.395 0.003
0.395 0.605 0.503
0.668 0.332 0.750
0.332 0.668 0.250
0.389 0.611 0.750
0.611 0.389 0.250
```